VASP calculation (PBE) on crystalline Ta2MoCl at its relaxed geometry.

Calculated values
ΔE to the lowest computed polymorph: 42.7 kJ per mole of atoms
ΔE_f (raw): 50.4 kJ per mole of atoms
DOS at the Fermi energy: 3.1 states/eV/f.u.
Theoretical density: 11685 kg/m3
SG: Pmmm

Lattice parameters (Å, degrees): 2.829 4.479 5.533 90.00 90.00 90.00
Positions (direct):
Ta: 0.000 0.000 0.237
Ta: 0.000 0.000 0.763
Mo: 0.500 0.500 0.000
Cl: 0.500 0.500 0.500